Entry 1:
First-principles (PBE) data for Co2PdRhN after structural relaxation, as listed in Alexandria via LeMat-Bulk.

Geometry as POSCAR:
```
Co2PdRhN
1.0
3.839 0.000 0.000
0.000 3.839 0.000
0.000 0.000 4.036
Co Pd Rh N
2 1 1 1
Direct
0.000 0.500 0.000
0.500 0.000 0.000
0.000 0.000 0.500
0.500 0.500 0.500
0.500 0.500 0.000
```

Properties
**ρ**: 9.52 g/cm3
**N(E_F)**: 5.0 states/eV per cell
**Space group**: No. 123
**Raw formation energy**: 0.114 eV per atom

Entry 2:
First-principles (PBE) data for TcIr2Au after structural relaxation, as listed in Alexandria via LeMat-Bulk.

Geometry as POSCAR:
```
TcIr2Au
1.0
2.786 0.000 0.000
0.000 3.864 0.000
0.000 0.000 5.684
Tc Ir Au
1 2 1
Direct
0.000 0.000 0.000
0.500 0.500 0.232
0.500 0.500 0.768
0.000 0.000 0.500
```

Properties
**ρ**: 18.44 g/cm3
**N(E_F)**: 3.6 states/eV per cell
**Space group**: No. 47
**Energy above the most stable polymorph in this dataset**: 94.1 meV per atom
**Energy of formation**: 116 meV/atom

Entry 3:
First-principles (PBE) data for Y2TePt after structural relaxation, as listed in Alexandria via LeMat-Bulk.

Geometry as POSCAR:
```
Y2TePt
1.0
3.629 -3.634 0.000
3.629 3.634 0.000
0.000 0.000 3.683
Y Te Pt
2 1 1
Direct
0.000 0.500 0.000
0.500 0.000 0.000
0.000 0.000 0.500
0.500 0.500 0.500
```

Properties
**ρ**: 8.56 g/cm3
**N(E_F)**: 3.9 states/eV per cell
**Space group**: No. 65
**Raw formation energy**: -1.004 eV per atom

Entry 4:
First-principles (PBE) data for GaHg14Pb after structural relaxation, as listed in Alexandria via LeMat-Bulk.

Geometry as POSCAR:
```
GaHg14Pb
1.0
10.771 0.000 0.000
0.000 3.521 5.671
0.000 -3.521 5.671
Ga Hg Pb
1 14 1
Direct
0.000 0.000 0.000
0.000 0.498 0.993
0.000 0.993 0.498
0.241 0.859 0.859
0.253 0.356 0.851
0.253 0.851 0.356
0.265 0.347 0.347
0.500 0.030 0.560
0.500 0.048 0.048
0.500 0.540 0.540
0.500 0.560 0.030
0.735 0.347 0.347
0.747 0.356 0.851
0.747 0.851 0.356
0.759 0.859 0.859
0.000 0.484 0.484
```

Properties
**ρ**: 11.91 g/cm3
**N(E_F)**: 3.4 states/eV per cell
**Space group**: No. 38
**Energy of formation**: 30 meV/atom

Entry 5:
First-principles (PBE) data for SrLaRe2 after structural relaxation, as listed in Alexandria via LeMat-Bulk.

Geometry as POSCAR:
```
SrLaRe2
1.0
5.014 0.000 0.000
0.000 5.014 0.000
0.000 0.000 3.745
Sr La Re
1 1 2
Direct
0.000 0.000 0.000
0.500 0.500 0.000
0.000 0.500 0.500
0.500 0.000 0.500
```

Properties
**ρ**: 10.56 g/cm3
**N(E_F)**: 5.7 states/eV per cell
**Space group**: No. 123
**Energy above the most stable polymorph in this dataset**: 1057.9 meV per atom
**Energy of formation**: 1283 meV/atom

Entry 6:
First-principles (PBE) data for NbFePt6 after structural relaxation, as listed in Alexandria via LeMat-Bulk.

Geometry as POSCAR:
```
NbFePt6
1.0
3.973 0.000 0.000
0.000 3.973 0.000
0.000 0.000 7.876
Nb Fe Pt
1 1 6
Direct
0.000 0.000 0.000
0.000 0.000 0.500
0.000 0.500 0.251
0.000 0.500 0.749
0.500 0.000 0.251
0.500 0.000 0.749
0.500 0.500 0.000
0.500 0.500 0.500
```

Properties
**ρ**: 17.62 g/cm3
**N(E_F)**: 5.8 states/eV per cell
**Space group**: No. 123
**Energy of formation**: -441 meV/atom

Entry 7:
First-principles (PBE) data for AlZn2Co after structural relaxation, as listed in Alexandria via LeMat-Bulk.

Geometry as POSCAR:
```
AlZn2Co
1.0
3.658 0.000 0.000
0.000 3.658 0.000
0.000 0.000 3.915
Al Zn Co
1 2 1
Direct
0.000 0.000 0.000
0.000 0.500 0.500
0.500 0.000 0.500
0.500 0.500 0.000
```

Properties
**ρ**: 6.87 g/cm3
**N(E_F)**: 2.5 states/eV per cell
**Space group**: No. 123
**Energy of formation**: -128 meV/atom

Entry 8:
First-principles (PBE) data for Sr2In3Pt4Pb after structural relaxation, as listed in Alexandria via LeMat-Bulk.

Geometry as POSCAR:
```
Sr2In3Pt4Pb
1.0
4.816 0.000 0.000
0.000 4.816 0.000
0.000 0.000 10.574
Sr In Pt Pb
2 3 4 1
Direct
0.000 0.500 0.231
0.500 0.000 0.769
0.000 0.500 0.882
0.500 0.000 0.118
0.500 0.500 0.500
0.000 0.000 0.000
0.000 0.500 0.631
0.500 0.000 0.369
0.500 0.500 0.000
0.000 0.000 0.500
```

Properties
**ρ**: 10.20 g/cm3
**N(E_F)**: 3.3 states/eV per cell
**Space group**: No. 115
**Energy of formation**: -639 meV/atom

Entry 9:
First-principles (PBE) data for TmSc2Fe after structural relaxation, as listed in Alexandria via LeMat-Bulk.

Geometry as POSCAR:
```
TmSc2Fe
1.0
3.174 0.000 0.000
0.000 3.174 0.000
0.000 0.000 8.407
Tm Sc Fe
1 2 1
Direct
0.000 0.000 0.000
0.500 0.500 0.323
0.500 0.500 0.677
0.000 0.000 0.500
```

Properties
**ρ**: 6.17 g/cm3
**N(E_F)**: 3.6 states/eV per cell
**Space group**: No. 123
**Energy above the most stable polymorph in this dataset**: 43.5 meV per atom
**Energy of formation**: -29 meV/atom

Entry 10:
First-principles (PBE) data for Rb2P2O5 after structural relaxation, as listed in Alexandria via LeMat-Bulk.

Geometry as POSCAR:
```
Rb2P2O5
1.0
5.629 -2.110 0.000
5.629 2.110 0.000
-1.680 0.000 6.365
Rb P O
2 2 5
Direct
0.094 0.094 0.335
0.906 0.906 0.665
0.343 0.343 0.080
0.657 0.657 0.920
0.193 0.193 0.969
0.367 0.367 0.320
0.500 0.500 0.000
0.633 0.633 0.680
0.807 0.807 0.031
```

Properties
**ρ**: 3.44 g/cm3
**Space group**: No. 12
**Raw formation energy**: -1.593 eV per atom

Entry 11:
First-principles (PBE) data for K2EuCl after structural relaxation, as listed in Alexandria via LeMat-Bulk.

Geometry as POSCAR:
```
K2EuCl
1.0
2.104 1.215 12.054
-2.104 1.215 12.054
0.000 -2.429 12.054
K Eu Cl
2 1 1
Direct
0.112 0.112 0.112
0.888 0.888 0.888
0.000 0.000 0.000
0.500 0.500 0.500
```

Properties
**ρ**: 2.39 g/cm3
**N(E_F)**: 12.3 states/eV per cell
**Space group**: No. 166
**Raw formation energy**: -0.791 eV per atom

Entry 12:
First-principles (PBE) data for AcP2Ir3 after structural relaxation, as listed in Alexandria via LeMat-Bulk.

Geometry as POSCAR:
```
AcP2Ir3
1.0
5.692 0.000 0.000
-2.846 4.930 0.000
0.000 0.000 3.700
Ac P Ir
1 2 3
Direct
0.000 0.000 0.000
0.333 0.667 0.000
0.667 0.333 0.000
0.000 0.500 0.500
0.500 0.000 0.500
0.500 0.500 0.500
```

Properties
**ρ**: 13.85 g/cm3
**N(E_F)**: 2.3 states/eV per cell
**Space group**: No. 191
**Energy of formation**: -683 meV/atom

Entry 13:
First-principles (PBE) data for LiPI2N after structural relaxation, as listed in Alexandria via LeMat-Bulk.

Geometry as POSCAR:
```
LiPI2N
1.0
5.272 0.000 0.000
0.000 5.272 0.000
0.000 0.000 3.709
Li P I N
1 1 2 1
Direct
0.000 0.000 0.000
0.500 0.500 0.500
0.000 0.500 0.000
0.500 0.000 0.000
0.000 0.000 0.500
```

Properties
**ρ**: 4.93 g/cm3
**N(E_F)**: 7.4 states/eV per cell
**Space group**: No. 123
**Raw formation energy**: 1.171 eV per atom
**Energy above the most stable polymorph in this dataset**: 1024.5 meV per atom

Entry 14:
First-principles (PBE) data for Rb2GeC after structural relaxation, as listed in Alexandria via LeMat-Bulk.

Geometry as POSCAR:
```
Rb2GeC
1.0
-6.379 6.379 1.956
6.379 -6.379 1.956
6.379 6.379 -1.956
Rb Ge C
4 2 2
Direct
0.375 0.148 0.273
0.852 0.125 0.227
0.875 0.102 0.727
0.898 0.625 0.773
0.250 0.750 0.500
0.500 0.500 0.000
0.000 0.000 0.000
0.750 0.250 0.500
```

Properties
**ρ**: 2.67 g/cm3
**N(E_F)**: 6.8 states/eV per cell
**Space group**: No. 122
**Energy above the most stable polymorph in this dataset**: 0.0 meV per atom
**Energy of formation**: 708 meV/atom

Entry 15:
First-principles (PBE) data for LiCdTe after structural relaxation, as listed in Alexandria via LeMat-Bulk.

Geometry as POSCAR:
```
LiCdTe
1.0
0.000 2.631 6.674
2.087 0.000 6.674
2.087 2.631 0.000
Li Cd Te
1 1 1
Direct
0.000 0.000 0.000
0.664 0.664 0.336
0.358 0.358 0.642
```

Properties
**ρ**: 5.60 g/cm3
**N(E_F)**: 0.9 states/eV per cell
**Space group**: No. 42
**Raw formation energy**: -0.233 eV per atom
**Energy above the most stable polymorph in this dataset**: 188.9 meV per atom

Entry 16:
First-principles (PBE) data for Ac2Sm3Ge4 after structural relaxation, as listed in Alexandria via LeMat-Bulk.

Geometry as POSCAR:
```
Ac2Sm3Ge4
1.0
8.105 0.000 0.000
0.000 8.233 0.000
-2.435 0.000 7.589
Ac Sm Ge
4 6 8
Direct
0.197 0.174 0.076
0.197 0.326 0.576
0.803 0.674 0.424
0.803 0.826 0.924
0.249 0.672 0.259
0.249 0.828 0.759
0.500 0.000 0.500
0.500 0.500 0.000
0.751 0.172 0.241
0.751 0.328 0.741
0.083 0.537 0.874
0.083 0.963 0.374
0.495 0.133 0.862
0.495 0.367 0.362
0.505 0.633 0.638
0.505 0.867 0.138
0.917 0.037 0.626
0.917 0.463 0.126
```

Properties
**ρ**: 7.84 g/cm3
**N(E_F)**: 14.3 states/eV per cell
**Space group**: No. 14
**Energy of formation**: -808 meV/atom

Entry 17:
First-principles (PBE) data for Cs9KRb2 after structural relaxation, as listed in Alexandria via LeMat-Bulk.

Geometry as POSCAR:
```
Cs9KRb2
1.0
7.561 0.000 0.000
0.000 7.561 0.000
0.000 0.000 22.624
Cs K Rb
9 1 2
Direct
0.000 0.000 0.000
0.000 0.000 0.331
0.000 0.000 0.669
0.000 0.500 0.162
0.000 0.500 0.500
0.000 0.500 0.838
0.500 0.000 0.162
0.500 0.000 0.500
0.500 0.000 0.838
0.500 0.500 0.000
0.500 0.500 0.331
0.500 0.500 0.669
```

Properties
**ρ**: 1.81 g/cm3
**N(E_F)**: 14.1 states/eV per cell
**Space group**: No. 123
**Energy of formation**: 3 meV/atom

Entry 18:
First-principles (PBE) data for Nd2MnGePt6 after structural relaxation, as listed in Alexandria via LeMat-Bulk.

Geometry as POSCAR:
```
Nd2MnGePt6
1.0
5.979 -2.744 0.000
5.979 2.744 0.000
-5.880 0.000 6.195
Nd Mn Ge Pt
2 1 1 6
Direct
0.242 0.242 0.206
0.758 0.758 0.794
0.500 0.500 0.000
0.000 0.000 0.500
0.243 0.741 0.244
0.252 0.252 0.604
0.259 0.757 0.756
0.741 0.243 0.244
0.748 0.748 0.396
0.757 0.259 0.756
```

Properties
**ρ**: 12.96 g/cm3
**N(E_F)**: 4.8 states/eV per cell
**Space group**: No. 12
**Energy of formation**: -717 meV/atom

Entry 19:
First-principles (PBE) data for Ba2MnTlPb after structural relaxation, as listed in Alexandria via LeMat-Bulk.

Geometry as POSCAR:
```
Ba2MnTlPb
1.0
5.823 0.000 0.000
0.000 5.823 0.000
0.000 0.000 5.186
Ba Mn Tl Pb
2 1 1 1
Direct
0.000 0.500 0.000
0.500 0.000 0.000
0.000 0.000 0.000
0.500 0.500 0.500
0.000 0.000 0.500
```

Properties
**ρ**: 7.00 g/cm3
**N(E_F)**: 6.3 states/eV per cell
**Space group**: No. 123
**Energy of formation**: 266 meV/atom

Entry 20:
First-principles (PBE) data for Pm2PrCd2In2 after structural relaxation, as listed in Alexandria via LeMat-Bulk.

Geometry as POSCAR:
```
Pm2PrCd2In2
1.0
2.501 1.444 9.225
-2.501 1.444 9.225
0.000 -2.888 9.225
Pm Pr Cd In
2 1 2 2
Direct
0.129 0.129 0.129
0.871 0.871 0.871
0.000 0.000 0.000
0.403 0.403 0.403
0.597 0.597 0.597
0.261 0.261 0.261
0.739 0.739 0.739
```

Properties
**ρ**: 7.35 g/cm3
**N(E_F)**: 4.0 states/eV per cell
**Space group**: No. 166
**Energy of formation**: -299 meV/atom

no.,calculated volume (Å³ per cell)
1,59.49
2,61.18
3,97.14
4,430.20
5,94.15
6,124.32
7,52.38
8,245.31
9,84.70
10,151.23
11,184.84
12,103.81
13,103.06
14,318.35
15,73.29
16,506.32
17,1293.34
18,203.29
19,175.81
20,199.93